This record from the Alexandria database describes KBaCa after structural relaxation. The functional is GGA-PBE.

Computed properties:
Density of states at the Fermi level in states/eV per cell: 3.70
Space group: P3m1 (156)
Energy of formation in eV per atom: 0.104
Offset from the most stable computed form in meV per atom: 23

a b c (Å): 4.261 4.261 10.908
angles (deg): 90.00 90.00 120.00
Positions (direct):
K 0.333 0.667 0.657
Ca 0.667 0.333 0.324
Ba 0.000 0.000 0.018


This record from the Alexandria database describes Pr3BiH3 after structural relaxation. The functional is GGA-PBE.

Computed properties:
Density of states at the Fermi level in states/eV per cell: 11.93
Space group: Pm-3n (223)
Offset from the most stable computed form in meV per atom: 14

a b c (Å): 6.599 6.599 6.599
angles (deg): 90.00 90.00 90.00
Positions (direct):
H 0.000 0.500 0.250
H 0.250 0.000 0.500
H 0.000 0.500 0.750
H 0.500 0.250 0.000
H 0.500 0.750 0.000
H 0.750 0.000 0.500
Pr 0.500 0.000 0.250
Pr 0.750 0.500 0.000
Pr 0.000 0.250 0.500
Pr 0.250 0.500 0.000
Pr 0.000 0.750 0.500
Pr 0.500 0.000 0.750
Bi 0.000 0.000 0.000
Bi 0.500 0.500 0.500


This record from the Alexandria database describes CaSiAu2 after structural relaxation. The functional is GGA-PBE.

Computed properties:
Density of states at the Fermi level in states/eV per cell: 1.64
Space group: P4mm (99)
E_form (uncorrected) in eV per formula unit: -1.203

a b c (Å): 3.639 3.639 6.375
angles (deg): 90.00 90.00 90.00
Positions (direct):
Au 0.500 0.500 0.234
Au 0.000 0.000 0.945
Si 0.500 0.500 0.836
Ca 0.000 0.000 0.485


This record from the Alexandria database describes Ca5Pt7 after structural relaxation. The functional is GGA-PBE.

Computed properties:
Density of states at the Fermi level in states/eV per cell: 4.79
Space group: C2 (5)
Energy of formation in eV per atom: -0.525
Offset from the most stable computed form in meV per atom: 182

a b c (Å): 6.698 6.698 5.437
angles (deg): 97.03 82.97 94.19
Positions (direct):
Pt 0.271 0.759 0.232
Pt 0.920 0.432 0.196
Pt 0.661 0.661 0.000
Pt 0.759 0.271 0.768
Pt 0.505 0.505 0.500
Pt 0.432 0.920 0.804
Pt 0.811 0.811 0.500
Ca 0.131 0.131 0.500
Ca 0.092 0.592 0.686
Ca 0.592 0.092 0.314
Ca 0.969 0.969 0.000
Ca 0.357 0.357 0.000


This record from the Alexandria database describes Ca2SbHPd6 after structural relaxation. The functional is GGA-PBE.

Computed properties:
Density of states at the Fermi level in states/eV per cell: 4.62
Space group: C2/m (12)
Calculated total energy in eV/atom: -4.84

a b c (Å): 5.800 7.021 7.048
angles (deg): 48.79 65.70 90.00
Positions (direct):
Sb 0.000 0.000 0.000
Ca 0.274 0.725 0.453
Ca 0.726 0.275 0.547
Pd 0.726 0.772 0.549
Pd 0.724 0.274 0.046
Pd 0.230 0.274 0.045
Pd 0.276 0.726 0.954
Pd 0.274 0.228 0.451
Pd 0.770 0.726 0.955
H 0.500 0.500 0.000


This record from the Alexandria database describes RbUInF6 after structural relaxation. The functional is GGA-PBE.

Computed properties:
Density of states at the Fermi level in states/eV per cell: 15.31
Space group: P-31c (163)
E_form (uncorrected) in eV per formula unit: -27.054

a b c (Å): 7.023 7.023 8.987
angles (deg): 90.00 90.00 120.00
Last column: magnetic moment on the atom in μB.
Positions (direct):
Rb 0.667 0.333 0.750  0.00
Rb 0.333 0.667 0.250  0.00
F 0.675 0.074 0.380  -0.01
F 0.074 0.675 0.880  -0.01
F 0.325 0.399 0.880  -0.01
F 0.074 0.399 0.620  -0.01
F 0.675 0.601 0.120  -0.01
F 0.399 0.074 0.120  -0.01
F 0.399 0.325 0.380  -0.01
F 0.926 0.601 0.380  -0.01
F 0.601 0.926 0.880  -0.01
F 0.926 0.325 0.120  -0.01
F 0.325 0.926 0.620  -0.01
F 0.601 0.675 0.620  -0.01
U 0.333 0.667 0.750  2.01
U 0.667 0.333 0.250  2.01
In 0.000 0.000 0.000  0.00
In 0.000 0.000 0.500  0.00


This record from the Alexandria database describes AcNd2CoPd after structural relaxation. The functional is GGA-PBE.

Computed properties:
Density of states at the Fermi level in states/eV per cell: 10.83
Space group: Cmcm (63)
Energy of formation in eV per atom: -0.216

a b c (Å): 6.708 6.627 6.952
angles (deg): 118.46 90.00 90.00
Positions (direct):
Co 0.750 0.126 0.252
Co 0.250 0.874 0.748
Ac 0.250 0.250 0.500
Ac 0.750 0.750 0.500
Nd 0.500 0.251 0.000
Nd 0.000 0.749 0.000
Nd 0.000 0.251 0.000
Nd 0.500 0.749 0.000
Pd 0.250 0.668 0.336
Pd 0.750 0.332 0.664


This record from the Alexandria database describes BeFeHg2 after structural relaxation. The functional is GGA-PBE.

Computed properties:
Density of states at the Fermi level in states/eV per cell: 3.16
Space group: Cm (8)
Energy of formation in eV per atom: 0.404

a b c (Å): 6.107 6.107 4.536
angles (deg): 89.62 89.62 28.00
Last column: magnetic moment on the atom in μB.
Positions (direct):
Hg 0.939 0.939 0.251  -0.03
Hg 0.713 0.713 0.749  -0.04
Be 0.603 0.603 0.251  -0.07
Fe 0.245 0.245 0.249  2.34


> Which value of density of states at the Fermi level does entry 1 give?

3.70 states/eV per cell


> Which value of density of states at the Fermi level does entry 6 give?

15.31 states/eV per cell


> What is the formula in the first record?

KBaCa


> The highest density of states at the Fermi level belongs to which entry?

RbUInF6